# CrNi7Ge2As2 (GGA-PBE, optimized geometry)
data_CrNi7Ge2As2
_chemical_formula_sum 'Cr1 Ni7 Ge2 As2'
_space_group_name_H-M_alt 'P 1'
_space_group_IT_number 1
_cell_length_a 3.4584
_cell_length_b 3.4584
_cell_length_c 14.7106
_cell_angle_alpha 83.28
_cell_angle_beta 83.28
_cell_angle_gamma 90.00
loop_
_space_group_symop_operation_xyz
'x,y,z'
loop_
_atom_site_label
_atom_site_fract_x
_atom_site_fract_y
_atom_site_fract_z
Cr1 0.0000 0.0000 0.0000
Ni1 0.4373 0.9373 0.1262
Ni2 0.9373 0.4373 0.1262
Ni3 0.3024 0.3024 0.3948
Ni4 0.6976 0.6976 0.6052
Ni5 0.5000 0.5000 0.0000
Ni6 0.0627 0.5627 0.8738
Ni7 0.5627 0.0627 0.8738
Ge1 0.2178 0.2177 0.5651
Ge2 0.7822 0.7823 0.4349
As1 0.3827 0.3827 0.2355
As2 0.6173 0.6173 0.7645
# VASP energy: -5.82 eV/atom
# space-group type: No. 139


# CoNi2RhSe6 (GGA-PBE, optimized geometry)
data_CoNi2RhSe6
_chemical_formula_sum 'Co2 Ni4 Rh2 Se12'
_space_group_name_H-M_alt 'P 1'
_space_group_IT_number 1
_cell_length_a 6.3272
_cell_length_b 7.8319
_cell_length_c 7.8319
_cell_angle_alpha 95.76
_cell_angle_beta 76.03
_cell_angle_gamma 76.03
loop_
_space_group_symop_operation_xyz
'x,y,z'
loop_
_atom_site_label
_atom_site_fract_x
_atom_site_fract_y
_atom_site_fract_z
Co1 0.2500 0.2379 0.7621
Co2 0.7500 0.7621 0.2379
Se1 0.3607 0.9216 0.3608
Se2 0.1655 0.9524 0.7865
Se3 0.6393 0.0784 0.6392
Se4 0.3345 0.2135 0.0476
Se5 0.4051 0.4922 0.7026
Se6 0.5949 0.5078 0.2974
Se7 0.9051 0.7026 0.4922
Se8 0.1393 0.6392 0.0784
Se9 0.0949 0.2974 0.5078
Se10 0.8607 0.3608 0.9216
Se11 0.8345 0.0476 0.2135
Se12 0.6655 0.7865 0.9524
Ni1 0.7684 0.5352 0.7109
Ni2 0.2316 0.4648 0.2891
Ni3 0.7316 0.2891 0.4648
Ni4 0.2684 0.7109 0.5352
Rh1 0.2500 0.9162 0.0838
Rh2 0.7500 0.0838 0.9162
# formation energy (no corrections): -0.268 eV per atom
# VASP energy: -4.96 eV/atom
# space-group type: No. 15


# K2HoScS4 (GGA-PBE, optimized geometry)
data_K2HoScS4
_chemical_formula_sum 'K2 Ho1 Sc1 S4'
_space_group_name_H-M_alt 'P 1'
_space_group_IT_number 1
_cell_length_a 3.9424
_cell_length_b 6.8221
_cell_length_c 7.6752
_cell_angle_alpha 107.24
_cell_angle_beta 90.00
_cell_angle_gamma 90.00
loop_
_space_group_symop_operation_xyz
'x,y,z'
loop_
_atom_site_label
_atom_site_fract_x
_atom_site_fract_y
_atom_site_fract_z
S1 0.0000 0.2568 0.8012
S2 0.5000 0.2218 0.1943
S3 0.5000 0.7782 0.8057
S4 0.0000 0.7432 0.1988
Sc1 0.0000 0.0000 0.0000
K1 0.5000 0.0000 0.5000
K2 0.0000 0.5000 0.5000
Ho1 0.5000 0.5000 0.0000
# formation energy (no corrections): -1.815 eV per atom
# VASP energy: -5.52 eV/atom
# space-group type: No. 10


> What is the formula in the third record?

K2HoScS4


> What is the VASP energy in the second record?

-4.96 eV/atom


> What is the VASP energy in the third record?

-5.52 eV/atom


> The lowest VASP energy belongs to which entry?

CrNi7Ge2As2